A plane-wave DFT calculation with PBE was carried out for crystalline MgSc2CuO at its relaxed geometry.

Values from the calculation:
- formation energy from raw total energies (eV per atom) = -1.143
- mass density (Mg/m³) = 4.04
- Fermi-level density of states (states/eV/f.u.) = 5.56
- spin magnetization (μB/cell) = 0.0

abc: 4.3616 4.3616 4.1885
angles: 90.00 90.00 90.00
Positions (direct):
1 Mg 0.0000 0.0000 0.0000
2 Sc 0.0000 0.5000 0.5000
3 Sc 0.5000 0.0000 0.5000
4 Cu 0.5000 0.5000 0.0000
5 O 0.0000 0.0000 0.5000

A plane-wave DFT calculation with PBE was carried out for crystalline MgCuSeO4 at its relaxed geometry.

Values from the calculation:
- formation energy from raw total energies (eV per atom) = -1.145
- mass density (Mg/m³) = 4.57
- Fermi-level density of states (states/eV/f.u.) = 1.30
- spin magnetization (μB/cell) = 0.0

abc: 6.2257 6.2257 6.2257
angles: 125.73 115.02 89.60
Positions (direct):
1 Mg 0.0000 0.0000 0.0000
2 Mg 0.5000 0.0000 0.5000
3 Cu 0.5000 0.0000 0.0000
4 Cu 0.5000 0.5000 0.5000
5 Se 0.0869 0.3369 0.7500
6 Se 0.9131 0.6631 0.2500
7 O 0.2093 0.2169 0.5076
8 O 0.2093 0.7017 0.9924
9 O 0.2868 0.2299 0.0570
10 O 0.3271 0.7701 0.5570
11 O 0.6729 0.2299 0.4430
12 O 0.7132 0.7701 0.9430
13 O 0.7907 0.2983 0.0076
14 O 0.7907 0.7831 0.4924

A plane-wave DFT calculation with PBE was carried out for crystalline MgCu2SeO6 at its relaxed geometry.

Values from the calculation:
- formation energy from raw total energies (eV per atom) = -0.897
- mass density (Mg/m³) = 4.92
- Fermi-level density of states (states/eV/f.u.) = 5.32
- spin magnetization (μB/cell) = 4.1

abc: 6.5002 6.5002 5.2510
angles: 94.37 94.37 85.82
Positions (direct):
1 Mg 0.0876 0.9124 0.7500
2 Mg 0.9124 0.0876 0.2500
3 Cu 0.2175 0.4109 0.7070
4 Cu 0.4109 0.2175 0.2070
5 Cu 0.5891 0.7825 0.7930
6 Cu 0.7825 0.5891 0.2930
7 Se 0.2621 0.7379 0.2500
8 Se 0.7379 0.2621 0.7500
9 O 0.0071 0.2106 0.6232
10 O 0.1484 0.6481 0.9390
11 O 0.2106 0.0071 0.1232
12 O 0.2844 0.4737 0.3648
13 O 0.3519 0.8516 0.5610
14 O 0.4737 0.2844 0.8648
15 O 0.5263 0.7156 0.1352
16 O 0.6481 0.1484 0.4390
17 O 0.7156 0.5263 0.6352
18 O 0.7894 0.9929 0.8768
19 O 0.8516 0.3519 0.0610
20 O 0.9929 0.7894 0.3768

A plane-wave DFT calculation with PBE was carried out for crystalline MgCuSi2O6 at its relaxed geometry.

Values from the calculation:
- formation energy from raw total energies (eV per atom) = -2.275
- mass density (Mg/m³) = 3.36
- Fermi-level density of states (states/eV/f.u.) = 1.62
- spin magnetization (μB/cell) = 2.0

abc: 6.9679 6.9679 5.3563
angles: 107.20 107.20 85.01
Positions (direct):
1 Mg 0.2273 0.7727 0.7500
2 Mg 0.7727 0.2273 0.2500
3 Cu 0.1239 0.8761 0.2500
4 Cu 0.8761 0.1239 0.7500
5 Si 0.2072 0.3818 0.2561
6 Si 0.3818 0.2072 0.7561
7 Si 0.6182 0.7928 0.2439
8 Si 0.7928 0.6182 0.7439
9 O 0.0193 0.2195 0.1295
10 O 0.1403 0.6120 0.3697
11 O 0.2195 0.0193 0.6295
12 O 0.3220 0.3626 0.0222
13 O 0.3626 0.3220 0.5222
14 O 0.3880 0.8597 0.1303
15 O 0.6120 0.1403 0.8697
16 O 0.6374 0.6780 0.4778
17 O 0.6780 0.6374 0.9778
18 O 0.7805 0.9807 0.3705
19 O 0.8597 0.3880 0.6303
20 O 0.9807 0.7805 0.8705